# 1
The following is a GGA-PBEsol calculation of a relaxed structure of CuAsSeN2, from Alexandria.

## Properties
- Uncorrected energy: -4.89 eV per atom
- Theoretical density: 5.52 Mg/m³

Cell: 3.575 3.575 5.776 Å, 90.00 90.00 90.00°
Site moments in Bohr magnetons follow the coordinates.
Element x y z (fractional)
1 As 0.000 0.000 0.000  -0.01
2 Se 0.000 0.000 0.500  0.01
3 N 0.500 0.000 0.000  0.09
4 N 0.000 0.500 0.000  0.09
5 Cu 0.500 0.500 0.500  0.00

***

# 2
The following is a GGA-PBEsol calculation of a relaxed structure of Ta2CuAsN, from Alexandria.

## Properties
- Uncorrected energy: -8.49 eV per atom
- Theoretical density: 11.38 Mg/m³

Cell: 4.087 4.087 4.495 Å, 90.00 90.00 90.00°
Element x y z (fractional)
1 N 0.000 0.000 0.000
2 As 0.000 0.000 0.500
3 Cu 0.500 0.500 0.500
4 Ta 0.000 0.500 0.000
5 Ta 0.500 0.000 0.000

***

# 3
The following is a GGA-PBEsol calculation of a relaxed structure of NaCuAs2, from Alexandria.

## Properties
- Uncorrected energy: -3.97 eV per atom
- Theoretical density: 4.71 Mg/m³
- E_form: 0.018 eV/atom

Cell: 4.541 4.541 8.691 Å, 105.14 105.14 90.00°
Element x y z (fractional)
1 Na 0.500 0.500 0.000
2 Na 0.750 0.250 0.500
3 Cu 0.000 0.000 0.000
4 Cu 0.250 0.750 0.500
5 As 0.980 0.375 0.250
6 As 0.125 0.020 0.750
7 As 0.625 0.730 0.750
8 As 0.270 0.875 0.250

***

# 4
The following is a GGA-PBEsol calculation of a relaxed structure of NaCu4As3O12, from Alexandria.

## Properties
- Uncorrected energy: -5.86 eV per atom
- Theoretical density: 4.81 Mg/m³

Cell: 7.321 8.590 8.590 Å, 92.32 108.58 108.58°
Site moments in Bohr magnetons follow the coordinates.
Element x y z (fractional)
1 Na 0.250 0.504 0.496  0.00
2 Na 0.750 0.496 0.504  0.00
3 O 0.385 0.334 0.343  0.07
4 O 0.237 0.773 0.016  0.01
5 O 0.737 0.016 0.773  0.01
6 O 0.372 0.476 0.814  0.06
7 O 0.115 0.657 0.666  0.07
8 O 0.311 0.914 0.522  0.08
9 O 0.763 0.227 0.984  0.01
10 O 0.263 0.984 0.227  0.01
11 O 0.628 0.524 0.186  0.06
12 O 0.615 0.666 0.657  0.07
13 O 0.128 0.186 0.524  0.06
14 O 0.467 0.740 0.344  0.06
15 O 0.177 0.996 0.774  0.03
16 O 0.033 0.656 0.260  0.06
17 O 0.811 0.522 0.914  0.08
18 O 0.823 0.004 0.226  0.03
19 O 0.677 0.774 0.996  0.03
20 O 0.689 0.086 0.478  0.08
21 O 0.885 0.343 0.334  0.07
22 O 0.323 0.226 0.004  0.03
23 O 0.533 0.260 0.656  0.06
24 O 0.872 0.814 0.476  0.06
25 O 0.189 0.478 0.086  0.08
26 O 0.967 0.344 0.740  0.06
27 Cu 0.250 0.993 0.007  -0.32
28 Cu 0.750 0.007 0.993  -0.32
29 Cu 0.250 0.235 0.765  0.56
30 Cu 0.750 0.765 0.235  0.56
31 Cu 0.639 0.875 0.564  0.56
32 Cu 0.361 0.125 0.436  0.56
33 Cu 0.139 0.564 0.875  0.56
34 Cu 0.861 0.436 0.125  0.56
35 As 0.250 0.772 0.228  0.01
36 As 0.620 0.606 0.845  0.01
37 As 0.880 0.155 0.394  0.01
38 As 0.120 0.845 0.606  0.01
39 As 0.750 0.228 0.772  0.01
40 As 0.380 0.394 0.155  0.01

***

# 5
The following is a GGA-PBEsol calculation of a relaxed structure of NaCuAsSe2, from Alexandria.

## Properties
- Uncorrected energy: -2.57 eV per atom
- Theoretical density: 4.43 Mg/m³

Cell: 4.874 4.956 4.956 Å, 90.00 90.00 90.00°
Element x y z (fractional)
1 As 0.500 0.000 0.000
2 Se 0.000 0.500 0.000
3 Se 0.000 0.000 0.500
4 Cu 0.500 0.500 0.500
5 Na 0.000 0.000 0.000

***

# 6
The following is a GGA-PBEsol calculation of a relaxed structure of NbCu3As, from Alexandria.

## Properties
- Uncorrected energy: -4.12 eV per atom
- Theoretical density: 5.90 Mg/m³
- E_form: 1.670 eV/atom

Cell: 4.654 4.654 4.654 Å, 90.00 90.00 90.00°
Element x y z (fractional)
1 Cu 0.500 0.000 0.000
2 Cu 0.000 0.500 0.000
3 Cu 0.000 0.000 0.500
4 As 0.500 0.500 0.500
5 Nb 0.000 0.000 0.000

***

# 7
The following is a GGA-PBEsol calculation of a relaxed structure of Cu2NiAs, from Alexandria.

## Properties
- Uncorrected energy: -4.99 eV per atom
- Theoretical density: 8.97 Mg/m³
- E_form: -0.008 eV/atom

Cell: 4.086 4.086 4.086 Å, 60.00 60.00 60.00°
Element x y z (fractional)
1 Cu 0.750 0.750 0.750
2 Cu 0.000 0.000 0.000
3 Ni 0.250 0.250 0.250
4 As 0.500 0.500 0.500

***

# 8
The following is a GGA-PBEsol calculation of a relaxed structure of CuNiAsSe2, from Alexandria.

## Properties
- Uncorrected energy: -4.08 eV per atom
- Theoretical density: 6.08 Mg/m³

Cell: 4.326 4.735 4.735 Å, 90.00 90.00 90.00°
Element x y z (fractional)
1 Cu 0.500 0.500 0.500
2 As 0.500 0.000 0.000
3 Se 0.000 0.000 0.500
4 Se 0.000 0.500 0.000
5 Ni 0.000 0.000 0.000

***

> Among the records above, which one has the highest uncorrected energy?

NaCuAsSe2